A plane-wave DFT calculation with meta-GGA SCAN was carried out for a crystal of TePtI2O relaxed with PBEsol.

## Properties
- raw formation energy (meV per atom) = 680.8

Cell lengths 5.090, 5.471, 5.471 Å; angles 90.00, 90.00, 90.00 degrees
Site moments in Bohr magnetons follow the coordinates.
Fractional coordinates of all 5 atoms:
O: 0.500 0.500 0.500  1.37
Pt: 0.000 0.000 0.000  -0.05
I: 0.000 0.000 0.500  0.02
I: 0.000 0.500 0.000  0.02
Te: 0.500 0.000 0.000  -0.35

A plane-wave DFT calculation with meta-GGA SCAN was carried out for a crystal of SiPtWN2 relaxed with PBEsol.

## Properties
- raw formation energy (meV per atom) = 1064.1

Cell lengths 3.597, 3.597, 4.842 Å; angles 90.00, 90.00, 90.00 degrees
Fractional coordinates of all 5 atoms:
N: 0.000 0.500 0.000
N: 0.500 0.000 0.000
Pt: 0.000 0.000 0.500
W: 0.500 0.500 0.500
Si: 0.000 0.000 0.000

A plane-wave DFT calculation with meta-GGA SCAN was carried out for a crystal of ErSnAu relaxed with PBEsol.

## Properties
- energy relative to the elements (eV/atom) = -1.0171

Cell lengths 4.610, 4.610, 7.261 Å; angles 90.00, 90.00, 120.00 degrees
Fractional coordinates of all 6 atoms:
Sn: 0.667 0.333 0.292
Er: 0.000 0.000 0.519
Er: 0.000 0.000 0.019
Au: 0.667 0.333 0.689
Sn: 0.333 0.667 0.792
Au: 0.333 0.667 0.189

A plane-wave DFT calculation with meta-GGA SCAN was carried out for a crystal of BaBe2Te relaxed with PBEsol.

## Properties
- raw formation energy (meV per atom) = 287.8

Cell lengths 3.587, 3.587, 6.909 Å; angles 90.00, 90.00, 90.00 degrees
Fractional coordinates of all 4 atoms:
Te: 0.500 0.500 0.000
Ba: 0.500 0.500 0.500
Be: 0.000 0.000 0.839
Be: 0.000 0.000 0.161

A plane-wave DFT calculation with meta-GGA SCAN was carried out for a crystal of Ba4WN4Cl2 relaxed with PBEsol.

## Properties
- raw formation energy (meV per atom) = -1603.2

Cell lengths 6.139, 8.447, 10.753 Å; angles 98.94, 90.00, 90.00 degrees
Fractional coordinates of all 22 atoms:
N: 0.750 0.610 0.702
Ba: 0.750 0.445 0.377
Ba: 0.750 0.816 0.911
N: 0.001 0.246 0.502
W: 0.750 0.771 0.601
W: 0.250 0.229 0.399
Ba: 0.250 0.555 0.623
Ba: 0.250 0.997 0.628
N: 0.499 0.246 0.502
Cl: 0.750 0.157 0.104
Cl: 0.250 0.324 0.833
N: 0.501 0.754 0.498
Cl: 0.250 0.843 0.896
Cl: 0.750 0.676 0.167
N: 0.250 0.035 0.289
Ba: 0.250 0.184 0.089
N: 0.999 0.754 0.498
Ba: 0.750 0.287 0.707
N: 0.250 0.390 0.298
N: 0.750 0.965 0.711
Ba: 0.750 0.003 0.372
Ba: 0.250 0.713 0.293

A plane-wave DFT calculation with meta-GGA SCAN was carried out for a crystal of Mn2MoPt relaxed with PBEsol.

## Properties
- energy relative to the elements (eV/atom) = -0.1917

Cell lengths 2.633, 4.931, 5.007 Å; angles 117.95, 102.63, 95.17 degrees
Site moments in Bohr magnetons follow the coordinates.
Fractional coordinates of all 4 atoms:
Mo: 0.000 0.500 0.000  -0.88
Pt: 0.500 0.000 0.000  0.19
Mn: 0.000 0.000 0.500  3.33
Mn: 0.500 0.500 0.500  3.33

A plane-wave DFT calculation with meta-GGA SCAN was carried out for a crystal of HfPd3Pt relaxed with PBEsol.

## Properties
- energy relative to the elements (eV/atom) = 0.9688

Cell lengths 4.727, 4.727, 4.727 Å; angles 90.00, 90.00, 90.00 degrees
Fractional coordinates of all 5 atoms:
Pd: 0.500 0.000 0.000
Pt: 0.000 0.000 0.000
Hf: 0.500 0.500 0.500
Pd: 0.000 0.500 0.000
Pd: 0.000 0.000 0.500

A plane-wave DFT calculation with meta-GGA SCAN was carried out for a crystal of TaPtRh relaxed with PBEsol.

## Properties
- energy above the most stable polymorph in this dataset (meV per atom) = 616.5
- energy relative to the elements (eV/atom) = -0.0926

Cell lengths 4.234, 4.234, 4.234 Å; angles 60.00, 60.00, 60.00 degrees
Fractional coordinates of all 3 atoms:
Ta: 0.000 0.000 0.000
Pt: 0.500 0.500 0.500
Rh: 0.250 0.250 0.250

A plane-wave DFT calculation with meta-GGA SCAN was carried out for a crystal of TcW2Au relaxed with PBEsol.

## Properties
- energy above the most stable polymorph in this dataset (meV per atom) = 0.0
- energy relative to the elements (eV/atom) = 0.2441

Cell lengths 3.284, 3.284, 5.795 Å; angles 90.00, 90.00, 90.00 degrees
Fractional coordinates of all 4 atoms:
Tc: 0.500 0.500 0.770
Au: 0.000 0.000 0.500
W: 0.500 0.500 0.237
W: 0.000 0.000 0.993

A plane-wave DFT calculation with meta-GGA SCAN was carried out for a crystal of Fe2PtSe relaxed with PBEsol.

## Properties
- raw formation energy (meV per atom) = 109.0

Cell lengths 3.732, 3.732, 4.777 Å; angles 112.99, 112.99, 90.00 degrees
Site moments in Bohr magnetons follow the coordinates.
Fractional coordinates of all 4 atoms:
Se: 0.250 0.750 0.500  0.11
Pt: 0.500 0.500 0.000  0.28
Fe: 0.750 0.250 0.500  3.12
Fe: 0.000 0.000 0.000  3.16

A plane-wave DFT calculation with meta-GGA SCAN was carried out for a crystal of Na3PbS relaxed with PBEsol.

## Properties
- raw formation energy (meV per atom) = -505.6

Cell lengths 5.245, 5.245, 5.245 Å; angles 90.00, 90.00, 90.00 degrees
Fractional coordinates of all 5 atoms:
Na: 0.000 0.500 0.000
S: 0.000 0.000 0.000
Na: 0.500 0.000 0.000
Pb: 0.500 0.500 0.500
Na: 0.000 0.000 0.500

A plane-wave DFT calculation with meta-GGA SCAN was carried out for a crystal of LiZrZnSn2 relaxed with PBEsol.

## Properties
- energy relative to the elements (eV/atom) = 0.3882

Cell lengths 5.020, 5.020, 5.020 Å; angles 90.00, 90.00, 90.00 degrees
Fractional coordinates of all 5 atoms:
Zn: 0.000 0.000 0.000
Li: 0.500 0.500 0.500
Zr: 0.500 0.000 0.000
Sn: 0.000 0.000 0.500
Sn: 0.000 0.500 0.000